Entry 1:
A geometry-optimized MnZnRu2 structure, computed with GGA-PBE.

Unit cell a=2.9592 b=4.2530 c=4.4600 alpha=90.00 beta=90.00 gamma=90.00
Space group Pmmm (No. 47)
Asymmetric unit:
Mn1 0.0000 0.0000 0.0000 (multiplicity 1)
Zn1 0.5000 0.0000 0.5000 (multiplicity 1)
Ru1 0.0000 0.5000 0.5000 (multiplicity 1)
Ru2 0.5000 0.5000 0.0000 (multiplicity 1)

Properties
formation energy from the elements = 0.200 eV per atom
DOS at the Fermi energy = 5.0 states/eV per cell
crystal system = orthorhombic

Entry 2:
A geometry-optimized MnZnRu structure, computed with GGA-PBE.

Unit cell a=3.0293 b=4.4055 c=12.5865 alpha=90.00 beta=90.00 gamma=90.00
Space group Fmm2 (No. 42)
Asymmetric unit:
Mn1 0.0000 0.0000 0.0000 (multiplicity 4)
Zn1 0.0000 0.0000 0.6690 (multiplicity 4)
Ru1 0.0000 0.0000 0.3420 (multiplicity 4)

Properties
excess energy over the best structure of this formula in the dataset = 137 meV/atom
formation energy from the elements = 0.173 eV per atom
DOS at the Fermi energy = 11.0 states/eV per cell
crystal system = orthorhombic

Entry 3:
A geometry-optimized MnZnRu structure, computed with GGA-PBE.

Unit cell a=2.6871 b=4.1867 c=7.0329 alpha=90.00 beta=100.64 gamma=90.00
Space group P2_1/m (No. 11)
Asymmetric unit:
Mn1 0.0483 0.2500 0.0972 (multiplicity 2)
Zn1 0.2798 0.7500 0.5625 (multiplicity 2)
Ru1 0.4025 0.2500 0.7977 (multiplicity 2)

Properties
excess energy over the best structure of this formula in the dataset = 1 meV/atom
formation energy from the elements = 0.037 eV per atom
DOS at the Fermi energy = 5.7 states/eV per cell
crystal system = monoclinic